a:
Computed, not measured: a geometry-optimized MnBIN2 structure at the PBE level of DFT.

The structure in POSCAR format:
```
MnBIN2
1.0
-3.3015 -1.2958 -0.6298
0.1368 -1.8495 3.0881
-2.2232 4.3503 2.7039
I B Mn N
1 1 1 2
Direct
0.0000 0.0000 0.5000
0.5000 0.5000 0.5000
0.0000 0.0000 0.0000
0.0000 0.5000 0.0000
0.5000 0.0000 0.0000
```

b:
Computed, not measured: a geometry-optimized MnBIN2 structure at the PBE level of DFT.

The structure in POSCAR format:
```
MnBIN2
1.0
3.4446 0.0000 0.0000
0.0000 3.4446 0.0000
0.0000 0.0000 6.3634
I B Mn N
1 1 1 2
Direct
0.0000 0.0000 0.5000
0.0000 0.0000 0.0000
0.5000 0.5000 0.5000
0.0000 0.5000 0.0000
0.5000 0.0000 0.0000
```

Most stable = a

a:
Computed, not measured: a geometry-optimized MnBSbI2 structure at the PBE level of DFT.

The structure in POSCAR format:
```
MnBSbI2
1.0
6.2307 0.0000 0.0000
0.0000 4.4155 0.0000
0.0000 0.0000 6.2307
I Sb B Mn
2 1 1 1
Direct
0.0000 0.0000 0.5000
0.5000 0.0000 0.0000
0.0000 0.0000 0.0000
0.0000 0.5000 0.0000
0.5000 0.5000 0.5000
```

b:
Computed, not measured: a geometry-optimized MnBSbI2 structure at the PBE level of DFT.

The structure in POSCAR format:
```
MnBSbI2
1.0
4.9916 0.0000 0.0000
0.0000 4.9916 0.0000
0.0000 0.0000 5.0868
I Sb B Mn
2 1 1 1
Direct
0.0000 0.5000 0.0000
0.5000 0.0000 0.0000
0.0000 0.0000 0.5000
0.0000 0.0000 0.0000
0.5000 0.5000 0.5000
```

c:
Computed, not measured: a geometry-optimized MnBSbI2 structure at the PBE level of DFT.

The structure in POSCAR format:
```
MnBSbI2
1.0
5.5138 0.0000 0.0000
0.0000 5.5138 0.0000
0.0000 0.0000 5.1981
I Sb B Mn
2 1 1 1
Direct
0.0000 0.5000 0.0000
0.5000 0.0000 0.0000
0.0000 0.0000 0.5000
0.5000 0.5000 0.5000
0.0000 0.0000 0.0000
```

Most stable = b

a:
Computed, not measured: a geometry-optimized MnBTe2I structure at the PBE level of DFT.

The structure in POSCAR format:
```
MnBTe2I
1.0
-1.6795 4.1601 2.6547
-3.8134 -2.8740 2.0912
3.3320 -1.3490 4.2221
I B Te Mn
1 1 2 1
Direct
0.0000 0.0000 0.5000
0.5000 0.5000 0.5000
0.0000 0.5000 0.0000
0.5000 0.0000 0.0000
0.0000 0.0000 0.0000
```

b:
Computed, not measured: a geometry-optimized MnBTe2I structure at the PBE level of DFT.

The structure in POSCAR format:
```
MnBTe2I
1.0
4.7741 0.0000 0.0000
0.0000 4.7741 0.0000
0.0000 0.0000 4.8387
I B Te Mn
1 1 2 1
Direct
0.0000 0.0000 0.5000
0.0000 0.0000 0.0000
0.0000 0.5000 0.0000
0.5000 0.0000 0.0000
0.5000 0.5000 0.5000
```

Most stable = b

a:
Computed, not measured: a geometry-optimized BMoI2N structure at the PBE level of DFT.

The structure in POSCAR format:
```
BMoI2N
1.0
-0.2968 -0.5653 5.5887
-4.6414 -3.1276 -0.5629
2.1539 -3.1595 -0.2052
I Mo B N
2 1 1 1
Direct
0.0000 0.5000 0.0000
0.5000 0.0000 0.0000
0.0000 0.0000 0.0000
0.5000 0.5000 0.5000
0.0000 0.0000 0.5000
```

b:
Computed, not measured: a geometry-optimized BMoI2N structure at the PBE level of DFT.

The structure in POSCAR format:
```
BMoI2N
1.0
-4.4048 -4.0889 -2.3446
3.9272 -1.4093 -4.9203
1.1260 -2.0679 1.4910
I Mo B N
2 1 1 1
Direct
0.0000 0.5000 0.0000
0.5000 0.0000 0.0000
0.5000 0.5000 0.5000
0.0000 0.0000 0.0000
0.0000 0.0000 0.5000
```

Most stable = b

a:
Computed, not measured: a geometry-optimized BMoIN2 structure at the PBE level of DFT.

The structure in POSCAR format:
```
BMoIN2
1.0
3.8067 0.0000 0.0000
0.0000 3.8067 0.0000
0.0000 0.0000 4.5234
I Mo B N
1 1 1 2
Direct
0.0000 0.0000 0.5000
0.5000 0.5000 0.5000
0.0000 0.0000 0.0000
0.0000 0.5000 0.0000
0.5000 0.0000 0.0000
```

b:
Computed, not measured: a geometry-optimized BMoIN2 structure at the PBE level of DFT.

The structure in POSCAR format:
```
BMoIN2
1.0
3.9041 0.0000 0.0000
0.0000 3.9041 0.0000
0.0000 0.0000 5.7993
I Mo B N
1 1 1 2
Direct
0.0000 0.0000 0.5000
0.0000 0.0000 0.0000
0.5000 0.5000 0.5000
0.0000 0.5000 0.0000
0.5000 0.0000 0.0000
```

Most stable = b